# 1
DFT (GGA-PBE) results for PmTc2TeO8 after structural relaxation.

Properties
Calculated density: 6.2 g cm⁻³
SG: No. 10
Total magnetization: 5.0 μB per cell
ΔE_f (raw): -1.56 eV/atom

Cell lengths 4.937, 4.930, 6.620 Å; angles 90.00, 90.00, 88.30 degrees
Atoms (fractional coordinates):
1 Pm 0.000 0.000 0.500
2 Tc 0.500 0.500 0.753
3 Tc 0.500 0.500 0.247
4 Te 0.000 0.000 0.000
5 O 0.210 0.788 0.234
6 O 0.679 0.680 0.000
7 O 0.790 0.212 0.234
8 O 0.790 0.212 0.766
9 O 0.321 0.320 0.000
10 O 0.210 0.788 0.766
11 O 0.670 0.671 0.500
12 O 0.330 0.329 0.500


# 2
DFT (GGA-PBE) results for PmTiTcO6 after structural relaxation.

Properties
Calculated density: 5.6 g cm⁻³
SG: No. 102
Total magnetization: 4.0 μB per cell
ΔE_f (raw): -2.39 eV/atom

Cell lengths 4.874, 4.874, 9.606 Å; angles 90.00, 90.00, 90.00 degrees
Atoms (fractional coordinates):
1 Pm 0.500 0.500 0.498
2 Pm 0.000 0.000 0.998
3 Ti 0.500 0.500 0.835
4 Ti 0.000 0.000 0.335
5 Tc 0.500 0.500 0.169
6 Tc 0.000 0.000 0.669
7 O 0.171 0.829 0.501
8 O 0.829 0.171 0.501
9 O 0.329 0.329 0.001
10 O 0.671 0.671 0.001
11 O 0.216 0.784 0.190
12 O 0.784 0.216 0.190
13 O 0.284 0.284 0.690
14 O 0.716 0.716 0.690
15 O 0.785 0.215 0.808
16 O 0.215 0.785 0.808
17 O 0.715 0.715 0.308
18 O 0.285 0.285 0.308


# 3
DFT (GGA-PBE) results for Pm2Tl3TcO6 after structural relaxation.

Properties
Calculated density: 8.5 g cm⁻³
SG: No. 12
Total magnetization: 3.0 μB per cell
ΔE_f (raw): -1.78 eV/atom

Cell lengths 5.947, 5.947, 7.535 Å; angles 100.96, 100.96, 119.25 degrees
Atoms (fractional coordinates):
1 Pm 0.333 0.667 0.000
2 Pm 0.667 0.333 0.000
3 Tl 0.160 0.840 0.500
4 Tl 0.840 0.160 0.500
5 Tl 0.500 0.500 0.500
6 Tc 0.000 0.000 0.000
7 O 0.925 0.627 0.846
8 O 0.781 0.781 0.159
9 O 0.075 0.373 0.154
10 O 0.627 0.925 0.846
11 O 0.219 0.219 0.841
12 O 0.373 0.075 0.154


# 4
DFT (GGA-PBE) results for Pm3Tl3TcO8 after structural relaxation.

Properties
Calculated density: 7.6 g cm⁻³
SG: No. 166
Total magnetization: 3.0 μB per cell
ΔE_f (raw): -2.03 eV/atom

Cell lengths 7.015, 7.015, 7.696 Å; angles 117.15, 90.00, 120.00 degrees
Atoms (fractional coordinates):
1 Pm 0.500 0.000 0.500
2 Pm 0.500 0.500 0.500
3 Pm 0.000 0.500 0.500
4 Tl 0.000 0.000 0.000
5 Tl 0.000 0.500 0.000
6 Tl 0.500 0.500 0.000
7 Tc 0.000 0.000 0.500
8 O 0.275 0.550 0.325
9 O 0.725 0.450 0.675
10 O 0.796 0.591 0.335
11 O 0.204 0.409 0.665
12 O 0.796 0.039 0.335
13 O 0.204 0.961 0.665
14 O 0.243 0.039 0.335
15 O 0.757 0.961 0.665


# 5
DFT (GGA-PBE) results for PmTl2TcO8 after structural relaxation.

Properties
Calculated density: 7.2 g cm⁻³
SG: No. 10
Total magnetization: 0.0 μB per cell
ΔE_f (raw): -1.36 eV/atom

Cell lengths 5.153, 5.138, 6.758 Å; angles 90.00, 90.00, 91.80 degrees
Atoms (fractional coordinates):
1 Pm 0.000 0.000 0.500
2 Tl 0.500 0.500 0.754
3 Tl 0.500 0.500 0.246
4 Tc 0.000 0.000 0.000
5 O 0.173 0.823 0.202
6 O 0.720 0.723 0.000
7 O 0.827 0.176 0.202
8 O 0.827 0.177 0.798
9 O 0.280 0.277 0.000
10 O 0.173 0.824 0.798
11 O 0.687 0.694 0.500
12 O 0.313 0.306 0.500


# 6
DFT (GGA-PBE) results for PmTlTcO6 after structural relaxation.

Properties
Calculated density: 6.7 g cm⁻³
SG: No. 5
Total magnetization: 0.0 μB per cell
ΔE_f (raw): -1.61 eV/atom

Cell lengths 5.673, 5.666, 4.802 Å; angles 90.21, 90.05, 60.06 degrees
Atoms (fractional coordinates):
1 Pm 0.667 0.667 0.500
2 Tl 0.001 0.000 0.000
3 Tc 0.334 0.333 0.500
4 O 0.051 0.339 0.273
5 O 0.340 0.051 0.726
6 O 0.608 0.341 0.727
7 O 0.050 0.610 0.727
8 O 0.340 0.608 0.273
9 O 0.609 0.050 0.273


# 7
DFT (GGA-PBE) results for PmTlTc2O8 after structural relaxation.

Properties
Calculated density: 4.4 g cm⁻³
SG: No. 164
Total magnetization: 2.0 μB per cell
ΔE_f (raw): -1.73 eV/atom

Cell lengths 6.100, 6.100, 7.820 Å; angles 90.00, 90.00, 120.00 degrees
Atoms (fractional coordinates):
1 Pm 0.000 0.000 0.500
2 Tl 0.000 0.000 0.000
3 Tc 0.667 0.333 0.237
4 Tc 0.333 0.667 0.763
5 O 0.333 0.667 0.986
6 O 0.346 0.174 0.315
7 O 0.826 0.172 0.315
8 O 0.667 0.333 0.014
9 O 0.174 0.828 0.685
10 O 0.654 0.826 0.685
11 O 0.172 0.346 0.685
12 O 0.828 0.654 0.315


# 8
DFT (GGA-PBE) results for PmTm2TcO8 after structural relaxation.

Properties
Calculated density: 6.9 g cm⁻³
SG: No. 65
Total magnetization: 0.0 μB per cell
ΔE_f (raw): -2.64 eV/atom

Cell lengths 5.024, 5.021, 6.768 Å; angles 90.00, 90.00, 89.80 degrees
Atoms (fractional coordinates):
1 Pm 0.000 0.000 0.500
2 Tm 0.500 0.500 0.749
3 Tm 0.500 0.500 0.251
4 Tc 0.000 0.000 0.000
5 O 0.186 0.814 0.203
6 O 0.731 0.731 0.000
7 O 0.814 0.186 0.203
8 O 0.814 0.186 0.797
9 O 0.269 0.269 0.000
10 O 0.186 0.814 0.797
11 O 0.684 0.685 0.500
12 O 0.316 0.315 0.500